No. 1
K3PmBi2Se6 | Alexandria | PBE | relaxed; formation energy from raw total energies = -1.12 eV per atom; density of states at the Fermi level = 0.0 states/eV/cell; magnetic moment = 0.000 μB/cell; space-group type = C2/m
1.0
7.490 -0.001 0.001
-3.744 6.487 0.001
-1.248 -2.161 7.721
K Se Bi Pm
3 6 2 1
Direct
0.831 0.169 0.500 K
0.500 0.500 0.500 K
0.169 0.831 0.500 K
0.930 0.597 0.789 Se
0.738 0.738 0.212 Se
0.597 0.930 0.789 Se
0.070 0.403 0.211 Se
0.262 0.262 0.788 Se
0.403 0.070 0.211 Se
0.334 0.666 0.000 Bi
0.666 0.334 0.000 Bi
0.000 0.000 0.000 Pm

***

No. 2
K2PmBiTe4 | Alexandria | PBE | relaxed; formation energy from raw total energies = -1.01 eV per atom; density of states at the Fermi level = 0.0 states/eV/cell; magnetic moment = 0.000 μB/cell; space-group type = P2/m
1.0
-1.068 4.363 0.895
-5.879 -2.436 4.860
7.199 0.781 4.783
Bi Te Pm K
1 4 1 2
Direct
0.000 0.000 0.000 Bi
0.000 0.738 0.212 Te
0.500 0.237 0.212 Te
0.500 0.763 0.788 Te
0.000 0.262 0.788 Te
0.500 0.500 0.000 Pm
0.000 0.500 0.500 K
0.500 0.000 0.500 K

***

No. 3
K3Pm3BiTe8 | Alexandria | PBE | relaxed; formation energy from raw total energies = -1.12 eV per atom; density of states at the Fermi level = 11.4 states/eV/cell; magnetic moment = 0.000 μB/cell; space-group type = C2/m
1.0
-2.227 -1.221 8.651
-5.787 -2.369 -6.523
8.032 -5.759 1.255
Te Bi K Pm
8 1 3 3
Direct
0.738 0.476 0.714 Te
0.262 0.524 0.286 Te
0.762 0.523 0.288 Te
0.735 0.974 0.712 Te
0.238 0.477 0.712 Te
0.238 0.974 0.712 Te
0.762 0.026 0.288 Te
0.265 0.026 0.288 Te
0.000 0.000 0.500 Bi
0.000 0.500 0.000 K
0.000 0.000 0.000 K
0.500 0.500 0.000 K
0.500 0.500 0.500 Pm
0.500 0.000 0.500 Pm
0.000 0.500 0.500 Pm

***

No. 4
KPmTlBi | Alexandria | PBE | relaxed; density of states at the Fermi level = 3.1 states/eV/cell; magnetic moment = 0.000 μB/cell; calculated formation energy = -235.8 meV/atom; space-group type = F-43m
1.0
-0.485 3.157 4.716
1.749 -2.075 5.008
4.658 2.127 2.494
Pm Bi K Tl
1 1 1 1
Direct
0.750 0.750 0.750 Pm
0.500 0.500 0.500 Bi
0.250 0.250 0.250 K
0.000 0.000 0.000 Tl